Entry from the Alexandria database: an optimized crystal structure of MgSbTe2 (PBE).

a = 9.9635 Å, b = 9.9635 Å, c = 9.9635 Å
α = 22.21°, β = 22.21°, γ = 22.21°
Positions (direct):
Sb: 0.0000 0.0000 0.0000
Mg: 0.5000 0.5000 0.5000
Te: 0.8972 0.8972 0.8972
Te: 0.1028 0.1028 0.1028

Summary:
* uncorrected energy: -3.118 eV/atom
* magnetic moment: 0.0 μB/cell
* offset from the most stable computed form: 23.4 kJ per mole of atoms
* DOS(E_F): 2.3 states/eV per cell
* V: 31.0 Å³/atom

Entry from the Alexandria database: an optimized crystal structure of PuCdIO4 (PBE).

a = 7.7198 Å, b = 7.7198 Å, c = 8.2988 Å
α = 68.53°, β = 68.53°, γ = 45.68°
Positions (direct):
Pu: 0.6284 0.6284 0.8260
Pu: 0.3716 0.3716 0.1740
Cd: 0.1748 0.1748 0.0581
Cd: 0.8252 0.8252 0.9419
I: 0.9628 0.9628 0.2702
I: 0.0372 0.0372 0.7298
O: 0.3202 0.3202 0.4084
O: 0.6798 0.6798 0.5916
O: 0.0393 0.5121 0.1560
O: 0.5662 0.5662 0.0684
O: 0.4879 0.9607 0.8440
O: 0.5121 0.0393 0.1560
O: 0.4338 0.4338 0.9316
O: 0.9607 0.4879 0.8440

Summary:
* uncorrected energy: -6.757 eV/atom
* magnetic moment: 2.0 μB/cell
* V: 23.2 Å³/atom

Entry from the Alexandria database: an optimized crystal structure of Er3Ag5Hg12 (PBE).

a = 14.5635 Å, b = 14.5635 Å, c = 14.5635 Å
α = 109.47°, β = 109.47°, γ = 109.47°
Positions (direct):
Er: 0.7500 0.3750 0.1250
Er: 0.8750 0.7500 0.1250
Er: 0.3750 0.7500 0.6250
Er: 0.2500 0.1250 0.3750
Er: 0.8750 0.1250 0.2500
Er: 0.3750 0.6250 0.2500
Er: 0.6250 0.3750 0.7500
Er: 0.1250 0.8750 0.7500
Er: 0.7500 0.8750 0.6250
Er: 0.6250 0.2500 0.3750
Er: 0.1250 0.2500 0.8750
Er: 0.2500 0.6250 0.8750
Ag: 0.1250 0.3750 0.2500
Ag: 0.0000 0.5000 0.0000
Ag: 0.0000 0.0000 0.0000
Ag: 0.3750 0.2500 0.1250
Ag: 0.5000 0.0000 0.5000
Ag: 0.5000 0.5000 0.0000
Ag: 0.1250 0.7500 0.3750
Ag: 0.7500 0.1250 0.8750
Ag: 0.7500 0.6250 0.3750
Ag: 0.3750 0.1250 0.7500
Ag: 0.6250 0.8750 0.2500
Ag: 0.5000 0.5000 0.5000
Ag: 0.5000 0.0000 0.0000
Ag: 0.0000 0.0000 0.5000
Ag: 0.2500 0.3750 0.6250
Ag: 0.2500 0.8750 0.1250
Ag: 0.0000 0.5000 0.5000
Ag: 0.8750 0.2500 0.6250
Ag: 0.6250 0.7500 0.8750
Ag: 0.8750 0.6250 0.7500
Hg: 0.7254 0.1349 0.0580
Hg: 0.3326 0.5580 0.4231
Hg: 0.9420 0.3651 0.2746
Hg: 0.5580 0.2254 0.1349
Hg: 0.5905 0.7254 0.6674
Hg: 0.9420 0.5769 0.1674
Hg: 0.3326 0.7746 0.4095
Hg: 0.0769 0.9095 0.1349
Hg: 0.5769 0.9420 0.6674
Hg: 0.7254 0.5905 0.1674
Hg: 0.7746 0.4420 0.3651
Hg: 0.8326 0.9231 0.0580
Hg: 0.1349 0.7254 0.5580
Hg: 0.3651 0.4231 0.0905
Hg: 0.0905 0.9231 0.3651
Hg: 0.4095 0.1349 0.5769
Hg: 0.0905 0.1674 0.2254
Hg: 0.4420 0.6674 0.0769
Hg: 0.8326 0.9095 0.2746
Hg: 0.1349 0.4095 0.0769
Hg: 0.3651 0.9420 0.7746
Hg: 0.5769 0.6349 0.4095
Hg: 0.9231 0.8326 0.5580
Hg: 0.7746 0.3326 0.9095
Hg: 0.4231 0.3651 0.5905
Hg: 0.0769 0.1674 0.4420
Hg: 0.2254 0.6674 0.0905
Hg: 0.1674 0.0905 0.7254
Hg: 0.6349 0.0580 0.2254
Hg: 0.8651 0.5905 0.9231
Hg: 0.5580 0.3326 0.9231
Hg: 0.5905 0.8651 0.4231
Hg: 0.9095 0.8326 0.7746
Hg: 0.9095 0.0769 0.6349
Hg: 0.8651 0.2746 0.4420
Hg: 0.1674 0.0769 0.9420
Hg: 0.6349 0.5769 0.9095
Hg: 0.4231 0.0580 0.3326
Hg: 0.2746 0.4095 0.8326
Hg: 0.2254 0.5580 0.6349
Hg: 0.9231 0.0905 0.8651
Hg: 0.6674 0.2254 0.5905
Hg: 0.4420 0.7746 0.8651
Hg: 0.0580 0.4231 0.8326
Hg: 0.4095 0.2746 0.3326
Hg: 0.0580 0.6349 0.7254
Hg: 0.6674 0.4420 0.5769
Hg: 0.2746 0.8651 0.9420

Summary:
* uncorrected energy: -1.448 eV/atom
* magnetic moment: 0.0 μB/cell
* formation energy from the elements: 0.13 eV/atom
* DOS(E_F): 39.3 states/eV per cell
* V: 29.7 Å³/atom

Entry from the Alexandria database: an optimized crystal structure of BaSb2S4 (PBE).

a = 7.9083 Å, b = 7.9090 Å, c = 8.3664 Å
α = 108.96°, β = 108.96°, γ = 108.65°
Positions (direct):
Ba: 0.2773 0.7848 0.5000
Ba: 0.0350 0.0275 0.0002
Sb: 0.6480 0.4277 0.8452
Sb: 0.6779 0.3982 0.3455
Sb: 0.1163 0.3662 0.7440
Sb: 0.6163 0.8662 0.2439
S: 0.8632 0.1987 0.2794
S: 0.1629 0.4826 0.0722
S: 0.7326 0.9125 0.5721
S: 0.4283 0.1451 0.3720
S: 0.9837 0.6154 0.6874
S: 0.4486 0.6131 0.7792
S: 0.8653 0.7336 0.1872
S: 0.3945 0.1782 0.8715

Summary:
* uncorrected energy: -4.584 eV/atom
* magnetic moment: 0.0 μB/cell
* offset from the most stable computed form: 6.3 kJ per mole of atoms
* DOS(E_F): 0.0 states/eV per cell
* V: 29.4 Å³/atom

Entry from the Alexandria database: an optimized crystal structure of SnAsF3 (PBE).

a = 4.5349 Å, b = 4.5349 Å, c = 4.5349 Å
α = 90.00°, β = 90.00°, γ = 90.00°
Positions (direct):
As: 0.5000 0.5000 0.5000
Sn: 0.0000 0.0000 0.0000
F: 0.0000 0.5000 0.0000
F: 0.0000 0.0000 0.5000
F: 0.5000 0.0000 0.0000

Summary:
* uncorrected energy: -4.055 eV/atom
* magnetic moment: 2.4 μB/cell
* offset from the most stable computed form: 0.0 kJ per mole of atoms
* DOS(E_F): 3.9 states/eV per cell
* V: 18.7 Å³/atom

Entry from the Alexandria database: an optimized crystal structure of Li2InF5 (PBE).

a = 4.0747 Å, b = 5.4271 Å, c = 10.5501 Å
α = 90.00°, β = 90.00°, γ = 112.05°
Positions (direct):
Li: 0.8621 0.7243 0.4517
Li: 0.8621 0.7243 0.0483
Li: 0.1379 0.2757 0.5483
Li: 0.1379 0.2757 0.9517
In: 0.8105 0.6211 0.7500
In: 0.1895 0.3789 0.2500
F: 0.9606 0.9213 0.8836
F: 0.9606 0.9213 0.6164
F: 0.3048 0.6097 0.4182
F: 0.3048 0.6097 0.0818
F: 0.7480 0.4961 0.2500
F: 0.2520 0.5039 0.7500
F: 0.6952 0.3903 0.5818
F: 0.6952 0.3903 0.9182
F: 0.0394 0.0787 0.1164
F: 0.0394 0.0787 0.3836

Summary:
* uncorrected energy: -4.706 eV/atom
* magnetic moment: 0.0 μB/cell
* DOS(E_F): 0.0 states/eV per cell
* V: 13.5 Å³/atom

Entry from the Alexandria database: an optimized crystal structure of Ti4AsCN2 (PBE).

a = 5.4924 Å, b = 5.2428 Å, c = 5.2428 Å
α = 63.18°, β = 58.41°, γ = 58.41°
Positions (direct):
Ti: 0.4830 0.1161 0.5170
Ti: 0.1161 0.8839 0.4830
Ti: 0.8839 0.5170 0.1161
Ti: 0.5170 0.4830 0.8839
As: 0.0000 0.0000 0.0000
C: 0.5000 0.5000 0.5000
N: 0.2500 0.2500 0.2500
N: 0.7500 0.7500 0.7500

Summary:
* uncorrected energy: -8.659 eV/atom
* magnetic moment: 0.0 μB/cell
* DOS(E_F): 6.3 states/eV per cell
* V: 13.3 Å³/atom

Entry from the Alexandria database: an optimized crystal structure of HoZrMnFe (PBE).

a = 4.6766 Å, b = 4.6766 Å, c = 4.6766 Å
α = 60.00°, β = 60.00°, γ = 60.00°
Positions (direct):
Mn: 0.0000 0.0000 0.0000
Ho: 0.7500 0.7500 0.7500
Zr: 0.2500 0.2500 0.2500
Fe: 0.5000 0.5000 0.5000

Summary:
* uncorrected energy: -7.586 eV/atom
* magnetic moment: 2.9 μB/cell
* formation energy from the elements: 0.10 eV/atom
* DOS(E_F): 5.2 states/eV per cell
* V: 18.1 Å³/atom

Entry from the Alexandria database: an optimized crystal structure of TbGa2Ge (PBE).

a = 3.5816 Å, b = 3.5816 Å, c = 6.3935 Å
α = 90.00°, β = 90.00°, γ = 90.00°
Positions (direct):
Ge: 0.5000 0.5000 0.0000
Tb: 0.5000 0.5000 0.5000
Ga: 0.0000 0.0000 0.7921
Ga: 0.0000 0.0000 0.2079

Summary:
* uncorrected energy: -4.128 eV/atom
* magnetic moment: 0.0 μB/cell
* formation energy from the elements: -0.30 eV/atom
* offset from the most stable computed form: 20.0 kJ per mole of atoms
* DOS(E_F): 2.4 states/eV per cell
* V: 20.5 Å³/atom

Entry from the Alexandria database: an optimized crystal structure of HoAl2Ag (PBE).

a = 3.2371 Å, b = 3.2371 Å, c = 7.4966 Å
α = 90.00°, β = 90.00°, γ = 90.00°
Positions (direct):
Ho: 0.5000 0.5000 0.5000
Ag: 0.5000 0.5000 0.0000
Al: 0.0000 0.0000 0.7861
Al: 0.0000 0.0000 0.2139

Summary:
* uncorrected energy: -3.948 eV/atom
* magnetic moment: 0.3 μB/cell
* formation energy from the elements: -0.22 eV/atom
* DOS(E_F): 2.0 states/eV per cell
* V: 19.6 Å³/atom

Entry from the Alexandria database: an optimized crystal structure of BeAu3 (PBE).

a = 5.1278 Å, b = 5.1278 Å, c = 5.1278 Å
α = 90.00°, β = 90.00°, γ = 90.00°
Positions (direct):
Be: 0.0000 0.0000 0.0000
Be: 0.5000 0.5000 0.5000
Au: 0.7500 0.5000 0.0000
Au: 0.2500 0.5000 0.0000
Au: 0.0000 0.7500 0.5000
Au: 0.0000 0.2500 0.5000
Au: 0.5000 0.0000 0.2500
Au: 0.5000 0.0000 0.7500

Summary:
* uncorrected energy: -3.153 eV/atom
* magnetic moment: 0.0 μB/cell
* formation energy from the elements: 0.24 eV/atom
* DOS(E_F): 4.8 states/eV per cell
* V: 16.9 Å³/atom

Entry from the Alexandria database: an optimized crystal structure of Sm3Y2Er7 (PBE).

a = 3.5076 Å, b = 6.3176 Å, c = 17.8865 Å
α = 75.65°, β = 90.00°, γ = 90.00°
Positions (direct):
Sm: 0.5000 0.5000 0.0000
Sm: 0.0000 0.1087 0.3422
Sm: 0.0000 0.8913 0.6578
Y: 0.5000 0.6167 0.3260
Y: 0.5000 0.3833 0.6740
Er: 0.5000 0.2458 0.5005
Er: 0.5000 0.7542 0.4995
Er: 0.0000 0.5637 0.1646
Er: 0.0000 0.0000 0.0000
Er: 0.0000 0.4363 0.8354
Er: 0.5000 0.9410 0.8340
Er: 0.5000 0.0590 0.1660

Summary:
* uncorrected energy: -4.832 eV/atom
* magnetic moment: 0.0 μB/cell
* formation energy from the elements: 0.09 eV/atom
* offset from the most stable computed form: 0.0 kJ per mole of atoms
* DOS(E_F): 17.9 states/eV per cell
* V: 32.0 Å³/atom

Question: What is the V in the eighth record?
Answer: 18.1 Å³/atom